# PBE-GGA ZrZnIrO6, optimized geometry
data_ZrZnIrO6
_chemical_formula_sum 'Zr2 Zn2 Ir2 O12'
_space_group_name_H-M_alt 'P -3 1 c'
_space_group_IT_number 163
_space_group_name_Hall '-P 3 2c'
_cell_length_a 5.2708
_cell_length_b 5.2708
_cell_length_c 8.9907
_cell_angle_alpha 90.00
_cell_angle_beta 90.00
_cell_angle_gamma 120.00
loop_
_atom_site_label
_atom_site_type_symbol
_atom_site_fract_x
_atom_site_fract_y
_atom_site_fract_z
Zr1 Zr 0.3333 0.6667 0.2500
Zn1 Zn 0.0000 0.0000 0.0000
Ir1 Ir 0.3333 0.6667 0.7500
O1 O 0.0216 0.3570 0.6290
# **Calculated density**: 6.8 g cm⁻³
# **Energy**: -6.9072 eV/atom
# **E_form (uncorrected)**: -1.526 eV/atom